(1)
The following is a DFT calculation (PBE) of a relaxed K6SeO2 crystal.

Properties
Calculated volume   32.941 Å³ per atom
Raw total energy   -3.249 eV per atom

Cell: 5.2257 5.2257 10.8564 Å, 90.00 90.00 90.00°
Positions (direct):
K 0.5000 0.0000 0.7098
K 0.0000 0.5000 0.7098
K 0.5000 0.0000 0.2902
K 0.0000 0.5000 0.2902
K 0.5000 0.5000 0.5000
K 0.5000 0.5000 0.0000
Se 0.0000 0.0000 0.5000
O 0.5000 0.5000 0.7643
O 0.5000 0.5000 0.2357

(2)
The following is a DFT calculation (PBE) of a relaxed Y3Ni2Ge4 crystal.

Properties
Energy of formation   -0.781 eV/atom
Calculated volume   19.699 Å³ per atom
Raw total energy   -6.273 eV per atom
Relative energy among the computed polymorphs   0.15 kcal/mol of atoms

Cell: 4.1489 5.7540 8.1367 Å, 101.09 90.00 111.13°
Positions (direct):
Y 0.6613 0.3226 0.6608
Y 0.0000 0.0000 0.0000
Y 0.3387 0.6774 0.3392
Ni 0.6064 0.2128 0.2821
Ni 0.3936 0.7872 0.7179
Ge 0.7185 0.4369 0.0712
Ge 0.2815 0.5631 0.9288
Ge 0.9388 0.8776 0.6191
Ge 0.0612 0.1224 0.3809

(3)
The following is a DFT calculation (PBE) of a relaxed Sc2ZnNi crystal.

Properties
Energy of formation   -0.001 eV/atom
Calculated volume   18.793 Å³ per atom
Raw total energy   -4.930 eV per atom

Cell: 7.2643 7.2643 5.8739 Å, 51.80 51.80 90.00°
Positions (direct):
Sc 0.5854 0.1250 0.2500
Sc 0.1646 0.6250 0.2500
Sc 0.3750 0.4146 0.7500
Sc 0.8750 0.8354 0.7500
Ni 0.5000 0.5000 0.0000
Ni 0.2500 0.7500 0.5000
Zn 0.0000 0.0000 0.0000
Zn 0.7500 0.2500 0.5000

(4)
The following is a DFT calculation (PBE) of a relaxed CaYBe3 crystal.

Properties
Energy of formation   1.289 eV/atom
Calculated volume   25.738 Å³ per atom
Raw total energy   -2.640 eV per atom
Relative energy among the computed polymorphs   0.00 kcal/mol of atoms

Cell: 5.0487 5.0487 5.0487 Å, 90.00 90.00 90.00°
Positions (direct):
Y 0.0000 0.0000 0.0000
Be 0.0000 0.5000 0.0000
Be 0.0000 0.0000 0.5000
Be 0.5000 0.0000 0.0000
Ca 0.5000 0.5000 0.5000

(5)
The following is a DFT calculation (PBE) of a relaxed Cd2BiF8 crystal.

Properties
Calculated volume   15.036 Å³ per atom
Raw total energy   -3.973 eV per atom

Cell: 5.5395 5.5395 6.6629 Å, 114.56 114.56 90.00°
Positions (direct):
Cd 0.7500 0.2500 0.5000
Cd 0.2500 0.7500 0.5000
Bi 0.5000 0.5000 0.0000
F 0.8593 0.3920 0.2515
F 0.1405 0.6078 0.7485
F 0.6080 0.1407 0.7485
F 0.1407 0.1405 0.7485
F 0.3922 0.8595 0.2515
F 0.8595 0.8593 0.2515
F 0.3920 0.3922 0.2515
F 0.6078 0.6080 0.7485

(6)
The following is a DFT calculation (PBE) of a relaxed Pm3Pr5Nd crystal.

Properties
Energy of formation   0.377 eV/atom
Calculated volume   37.925 Å³ per atom
Raw total energy   -4.392 eV per atom
Relative energy among the computed polymorphs   2.83 kcal/mol of atoms

Cell: 9.6395 9.6395 9.7511 Å, 75.75 75.75 51.56°
Positions (direct):
Pm 0.6902 0.6902 0.7302
Pm 0.8500 0.8500 0.2878
Pm 0.0000 0.0000 0.0000
Pm 0.0000 0.0000 0.5000
Pm 0.3098 0.3098 0.2698
Pm 0.1500 0.1500 0.7122
Pr 0.8721 0.4507 0.4229
Pr 0.3229 0.6771 0.0000
Pr 0.6953 0.6953 0.0831
Pr 0.5028 0.5028 0.3248
Pr 0.4972 0.4972 0.6752
Pr 0.3047 0.3047 0.9169
Pr 0.4507 0.8721 0.4229
Pr 0.6771 0.3229 0.0000
Pr 0.1279 0.5493 0.5771
Pr 0.5493 0.1279 0.5771
Nd 0.8775 0.8775 0.8337
Nd 0.1225 0.1225 0.1663

(7)
The following is a DFT calculation (PBE) of a relaxed Pr4Y10Pu crystal.

Properties
Energy of formation   0.276 eV/atom
Calculated volume   34.306 Å³ per atom
Raw total energy   -6.264 eV per atom

Cell: 7.8439 8.9991 8.9991 Å, 79.05 64.16 64.16°
Last column: magnetic moment on the atom in μB.
Positions (direct):
Pr 0.2289 0.0001 0.5421  -0.02
Pr 0.7710 0.4579 0.0001  -0.02
Pr 0.2290 0.5421 0.9999  -0.02
Pr 0.7711 0.9999 0.4579  -0.02
Y 0.2500 0.5000 0.5000  -0.02
Y 0.7124 0.2070 0.7930  0.05
Y 0.0806 0.2070 0.2070  0.05
Y 0.4946 0.7930 0.7930  0.05
Y 0.7125 0.7930 0.2070  0.05
Y 0.2876 0.7930 0.2070  0.05
Y 0.7500 0.5000 0.5000  -0.02
Y 0.2875 0.2070 0.7930  0.05
Y 0.5054 0.2070 0.2070  0.05
Y 0.9194 0.7930 0.7930  0.05
Pu 0.0000 0.0000 0.0000  5.54

(8)
The following is a DFT calculation (PBE) of a relaxed LaPrEuEr crystal.

Properties
Energy of formation   0.116 eV/atom
Calculated volume   36.081 Å³ per atom
Raw total energy   -6.020 eV per atom

Cell: 5.8878 5.8878 5.8878 Å, 60.00 60.00 60.00°
Last column: magnetic moment on the atom in μB.
Positions (direct):
Eu 0.0000 0.0000 0.0000  -6.86
Pr 0.7500 0.7500 0.7500  -0.08
La 0.2500 0.2500 0.2500  -0.09
Er 0.5000 0.5000 0.5000  -0.10

(9)
The following is a DFT calculation (PBE) of a relaxed SnIrSe2N crystal.

Properties
Calculated volume   17.029 Å³ per atom
Raw total energy   -4.645 eV per atom
Relative energy among the computed polymorphs   18.79 kcal/mol of atoms

Cell: 4.3506 4.4983 4.3506 Å, 90.00 90.00 90.00°
Positions (direct):
Ir 0.5000 0.5000 0.5000
Sn 0.0000 0.5000 0.0000
Se 0.0000 0.0000 0.5000
Se 0.5000 0.0000 0.0000
N 0.0000 0.0000 0.0000

(10)
The following is a DFT calculation (PBE) of a relaxed Tb2CdRu crystal.

Properties
Energy of formation   -0.385 eV/atom
Calculated volume   23.342 Å³ per atom
Raw total energy   -5.248 eV per atom

Cell: 3.4757 3.4757 7.7290 Å, 90.00 90.00 90.00°
Positions (direct):
Ru 0.5000 0.5000 0.0000
Tb 0.0000 0.0000 0.7850
Tb 0.0000 0.0000 0.2150
Cd 0.5000 0.5000 0.5000

(11)
The following is a DFT calculation (PBE) of a relaxed Ce3Se2N crystal.

Properties
Calculated volume   22.608 Å³ per atom
Raw total energy   -7.109 eV per atom

Cell: 3.8280 5.7433 7.0695 Å, 113.97 105.71 90.00°
Last column: magnetic moment on the atom in μB.
Positions (direct):
Ce 0.3662 0.3662 0.7324  0.61
Ce 0.0000 0.0000 0.0000  0.73
Ce 0.6338 0.6338 0.2676  0.61
Se 0.6791 0.1791 0.3581  -0.02
Se 0.3209 0.8209 0.6419  -0.02
N 0.0000 0.5000 0.0000  -0.05

(12)
The following is a DFT calculation (PBE) of a relaxed CeScCo2H6 crystal.

Properties
Calculated volume   8.981 Å³ per atom
Raw total energy   -5.056 eV per atom

Cell: 4.4107 4.4107 5.9075 Å, 68.08 68.08 60.00°
Last column: magnetic moment on the atom in μB.
Positions (direct):
Ce 0.0000 0.0000 0.0000  0.61
Sc 0.5000 0.5000 0.5000  -0.03
Co 0.7891 0.7891 0.6328  0.20
Co 0.2109 0.2109 0.3672  0.20
H 0.0639 0.5647 0.8065  0.00
H 0.5648 0.0639 0.8065  0.00
H 0.4353 0.4352 0.1935  0.00
H 0.9361 0.4353 0.1935  0.00
H 0.4352 0.9361 0.1935  0.00
H 0.5647 0.5648 0.8065  0.00